Record 1
# Hf2Pt2O5 | OQMD via LeMat-Bulk | PBE-GGA | optimized geometry
# Energy relative to the lowest polymorph listed for this composition   628 meV/atom
# Crystal system   tetragonal
data_Hf2Pt2O5
_chemical_formula_sum 'Hf2 Pt2 O5'
_cell_length_a 3.543
_cell_length_b 3.543
_cell_length_c 8.117
_cell_angle_alpha 90.00
_cell_angle_beta 90.00
_cell_angle_gamma 90.00
_symmetry_space_group_name_H-M 'P 4/m m m'
_symmetry_Int_Tables_number 123
_symmetry_space_group_name_Hall '-P 4 2'
loop_
_atom_site_label
_atom_site_fract_x
_atom_site_fract_y
_atom_site_fract_z
_atom_site_occupancy
Hf1 0.000 0.000 0.000 1
Hf2 0.000 0.000 0.500 1
Pt1 0.500 0.500 0.159 1
O1 0.000 0.500 0.315 1
O2 0.500 0.500 0.500 1


Record 2
# Cu2Ag3 | OQMD via LeMat-Bulk | PBE-GGA | optimized geometry
# Energy relative to the lowest polymorph listed for this composition   51 meV/atom
# Energy of formation   0.42 eV/f.u.
# Crystal system   monoclinic
data_Cu2Ag3
_chemical_formula_sum 'Cu4 Ag6'
_cell_length_a 4.879
_cell_length_b 2.828
_cell_length_c 11.390
_cell_angle_alpha 90.00
_cell_angle_beta 98.04
_cell_angle_gamma 90.00
_symmetry_space_group_name_H-M 'P 1 21/m 1'
_symmetry_Int_Tables_number 11
loop_
_symmetry_equiv_pos_as_xyz
'x,y,z'
'-x,-y,-z'
'-x,y+1/2,-z'
'x,-y+1/2,z'
loop_
_atom_site_label
_atom_site_fract_x
_atom_site_fract_y
_atom_site_fract_z
_atom_site_occupancy
Cu1 0.145 0.250 0.185 1
Cu2 0.222 0.750 0.006 1
Ag1 0.049 0.750 0.389 1
Ag2 0.356 0.250 0.820 1
Ag3 0.453 0.750 0.608 1


Q: Which formula does entry 1 have?
A: Hf2Pt2O5